a.
## TcSeIN2 (GGA-PBE)

Data for crystalline TcSeIN2 at its relaxed geometry.

extended XYZ file:
```
5
Lattice="3.909 0.000 0.000 0.000 3.909 0.000 0.000 0.000 6.018" Properties=species:S:1:pos:R:3 pbc="T T T"
Tc 0.000 0.000 0.000
Se 1.955 1.955 3.009
I 0.000 0.000 3.009
N 0.000 1.955 0.000
N 1.955 0.000 0.000
```

Output
The density of states at the Fermi level is 3.630 states/eV/f.u. The mass density is 5.99 g/cm3. Its space group is P4/mmm (123).


b.
## TcSeIN2 (GGA-PBE)

Data for crystalline TcSeIN2 at its relaxed geometry.

extended XYZ file:
```
5
Lattice="3.926 0.000 0.000 0.000 3.926 0.000 0.000 0.000 6.721" Properties=species:S:1:pos:R:3 pbc="T T T"
Tc 0.000 0.000 0.000
Se 1.963 1.963 0.000
I 1.963 1.963 3.360
N 0.000 1.963 3.360
N 1.963 0.000 3.360
```

Output
The density of states at the Fermi level is 3.089 states/eV/f.u. The mass density is 5.32 g/cm3. Its space group is P4/mmm (123).


c.
## TcSeIN2 (GGA-PBE)

Data for crystalline TcSeIN2 at its relaxed geometry.

extended XYZ file:
```
5
Lattice="3.935 0.000 0.000 0.000 3.935 0.000 0.000 0.000 5.679" Properties=species:S:1:pos:R:3 pbc="T T T"
Tc 0.000 0.000 0.000
Se 0.000 0.000 2.839
I 1.967 1.967 2.839
N 0.000 1.967 0.000
N 1.967 0.000 0.000
```

Output
The density of states at the Fermi level is 3.506 states/eV/f.u. The mass density is 6.27 g/cm3. Its space group is P4/mmm (123).


d.
## TcSeIN2 (GGA-PBE)

Data for crystalline TcSeIN2 at its relaxed geometry.

extended XYZ file:
```
5
Lattice="3.858 0.000 0.000 0.000 3.858 0.000 0.000 0.000 7.110" Properties=species:S:1:pos:R:3 pbc="T T T"
Tc 0.000 0.000 0.000
Se 1.929 1.929 3.555
I 1.929 1.929 0.000
N 0.000 1.929 3.555
N 1.929 0.000 3.555
```

Output
The density of states at the Fermi level is 3.389 states/eV/f.u. The mass density is 5.21 g/cm3. Its space group is P4/mmm (123).


Most stable structure: c


a.
## TiSeI2N (GGA-PBE)

Data for crystalline TiSeI2N at its relaxed geometry.

extended XYZ file:
```
5
Lattice="5.979 0.000 0.000 0.000 5.979 0.000 0.000 0.000 3.698" Properties=species:S:1:pos:R:3 pbc="T T T"
Ti 0.000 0.000 0.000
Se 2.990 2.990 1.849
I 0.000 2.990 1.849
I 2.990 0.000 1.849
N 2.990 2.990 0.000
```

Output
The density of states at the Fermi level is 7.355 states/eV/f.u. The mass density is 4.96 g/cm3. Its space group is P4/mmm (123).


b.
## TiSeI2N (GGA-PBE)

Data for crystalline TiSeI2N at its relaxed geometry.

extended XYZ file:
```
5
Lattice="5.689 0.000 0.000 0.000 5.689 0.000 0.000 0.000 3.754" Properties=species:S:1:pos:R:3 pbc="T T T"
Ti 0.000 0.000 0.000
Se 2.844 2.844 1.877
I 0.000 2.844 0.000
I 2.844 0.000 0.000
N 0.000 0.000 1.877
```

Output
The density of states at the Fermi level is 3.430 states/eV/f.u. The mass density is 5.39 g/cm3. Its space group is P4/mmm (123).


Most stable structure: b


a.
## WSeI2N (GGA-PBE)

Data for crystalline WSeI2N at its relaxed geometry.

extended XYZ file:
```
5
Lattice="5.927 0.000 0.000 0.000 5.927 0.000 0.000 0.000 3.635" Properties=species:S:1:pos:R:3 pbc="T T T"
W 0.000 0.000 0.000
Se 2.964 2.964 1.818
I 0.000 2.964 1.818
I 2.964 0.000 1.818
N 2.964 2.964 0.000
```

Output
The density of states at the Fermi level is 2.511 states/eV/f.u. The mass density is 6.90 g/cm3. Its space group is P4/mmm (123).


b.
## WSeI2N (GGA-PBE)

Data for crystalline WSeI2N at its relaxed geometry.

extended XYZ file:
```
5
Lattice="5.525 0.000 0.000 0.000 5.525 0.000 0.000 0.000 3.856" Properties=species:S:1:pos:R:3 pbc="T T T"
W 0.000 0.000 0.000
Se 2.763 2.763 1.928
I 0.000 2.763 0.000
I 2.763 0.000 0.000
N 0.000 0.000 1.928
```

Output
The density of states at the Fermi level is 3.498 states/eV/f.u. The mass density is 7.49 g/cm3. Its space group is P4/mmm (123).


Most stable structure: b


a.
## WSe2IN (GGA-PBE)

Data for crystalline WSe2IN at its relaxed geometry.

extended XYZ file:
```
5
Lattice="5.164 0.000 0.000 0.000 5.164 0.000 0.000 0.000 3.872" Properties=species:S:1:pos:R:3 pbc="T T T"
W 0.000 0.000 0.000
Se 0.000 2.582 0.000
Se 2.582 0.000 0.000
I 2.582 2.582 1.936
N 0.000 0.000 1.936
```

Output
The density of states at the Fermi level is 3.505 states/eV/f.u. The mass density is 7.76 g/cm3. Its space group is P4/mmm (123).


b.
## WSe2IN (GGA-PBE)

Data for crystalline WSe2IN at its relaxed geometry.

extended XYZ file:
```
5
Lattice="5.436 0.000 0.000 0.000 5.436 0.000 0.000 0.000 3.873" Properties=species:S:1:pos:R:3 pbc="T T T"
W 0.000 0.000 0.000
Se 0.000 2.718 1.937
Se 2.718 0.000 1.937
I 2.718 2.718 1.937
N 2.718 2.718 0.000
```

Output
The density of states at the Fermi level is 2.659 states/eV/f.u. The mass density is 7.00 g/cm3. Its space group is P4/mmm (123).


Most stable structure: a